Model 1:
# YZr2In (GGA-PBEsol, relaxed)
# V: 23.0 A^3/atom
# Crystal system: tetragonal
# Fermi-level density of states: 3.650 states/eV/f.u.
data_YZr2In
_chemical_formula_sum 'Y2 Zr4 In2'
_symmetry_space_group_name_H-M 'I 4/m m m'
_symmetry_Int_Tables_number 139
_symmetry_space_group_name_Hall '-I 4 2'
_cell_length_a 4.442
_cell_length_b 4.442
_cell_length_c 9.317
_cell_angle_alpha 90.00
_cell_angle_beta 90.00
_cell_angle_gamma 90.00
loop_
_atom_site_label
_atom_site_fract_x
_atom_site_fract_y
_atom_site_fract_z
Y1 0.000 0.000 0.000
Zr1 0.000 0.500 0.250
In1 0.000 0.000 0.500

=====

Model 2:
# YZr2In (GGA-PBEsol, relaxed)
# V: 22.9 A^3/atom
# Crystal system: tetragonal
# Fermi-level density of states: 3.833 states/eV/f.u.
data_YZr2In
_chemical_formula_sum 'Y1 Zr2 In1'
_symmetry_space_group_name_H-M 'P 4/m m m'
_symmetry_Int_Tables_number 123
_symmetry_space_group_name_Hall '-P 4 2'
_cell_length_a 4.499
_cell_length_b 4.499
_cell_length_c 4.525
_cell_angle_alpha 90.00
_cell_angle_beta 90.00
_cell_angle_gamma 90.00
loop_
_atom_site_label
_atom_site_fract_x
_atom_site_fract_y
_atom_site_fract_z
Y1 0.000 0.000 0.000
Zr1 0.000 0.500 0.500
In1 0.500 0.500 0.000

=====

The most stable structure shown above is model 2; the least stable is model 1.